Entry from Alexandria: an optimized crystal structure of SrBe2Al (GGA-PBE).

Output
As for the space-group type: P4/mmm. The value obtained for the energy of formation is 0.403 eV/atom. As for the raw total energy: -2.8160 eV/atom. For the total moment, the calculation gives 0.000 μB/atom. Its volume is 72.32 Å³ per cell. The theoretical density comes out at 3.05 Mg/m³.

a = 3.231 Å, b = 3.232 Å, c = 6.924 Å
α = 90.00°, β = 90.00°, γ = 90.05°
Sites, in units of the cell vectors:
Be 0.000 0.000 0.917
Be 0.000 0.000 0.583
Sr 0.500 0.500 0.250
Al 0.500 0.500 0.750